(1)
Density functional theory data (GGA-PBE) for a geometry-optimized Zn2OsAu structure.

It has space group Pmmm (No. 47), with a = 2.744 Å, b = 3.810 Å, c = 5.794 Å, α = 90.00°, β = 90.00° and γ = 90.00°. The asymmetric unit holds Zn at (0.000, 0.000, 0.230), Os at (0.500, 0.500, 0.000) and Au at (0.500, 0.500, 0.500).

Its formation energy is 0.1343 eV per atom.


(2)
Density functional theory data (GGA-PBE) for a geometry-optimized ZnOs2Au structure.

It has space group Cmm2 (No. 35), with a = 2.796 Å, b = 4.761 Å, c = 9.373 Å, α = 90.00°, β = 90.00° and γ = 90.00°. The asymmetric unit holds Zn at (0.000, 0.000, 0.000), Os at (0.000, 0.000, 0.525), Os at (0.000, 0.500, 0.758) and Au at (0.000, 0.500, 0.251).

Its formation energy is 0.4152 eV per atom.


(3)
Density functional theory data (GGA-PBE) for a geometry-optimized ZnOs2Au structure.

It has space group P4/mmm (No. 123), with a = 4.401 Å, b = 4.401 Å, c = 3.110 Å, α = 90.00°, β = 90.00° and γ = 90.00°. The asymmetric unit holds Zn at (0.000, 0.000, 0.000), Os at (0.000, 0.500, 0.500) and Au at (0.500, 0.500, 0.000).

Its formation energy is 0.7256 eV per atom.


(4)
Density functional theory data (GGA-PBE) for a geometry-optimized Zn2OsAu structure.

It has space group Pmm2 (No. 25), with a = 2.711 Å, b = 4.104 Å, c = 5.491 Å, α = 90.00°, β = 90.00° and γ = 90.00°. The asymmetric unit holds Zn at (0.000, 0.000, 0.000), Zn at (0.500, 0.500, 0.281), Os at (0.500, 0.500, 0.804) and Au at (0.000, 0.000, 0.504).

Its formation energy is 0.2118 eV per atom.


(5)
Density functional theory data (GGA-PBE) for a geometry-optimized ZnOsAu2 structure.

It has space group I-4m2 (No. 119), with a = 4.066 Å, b = 4.066 Å, c = 7.829 Å, α = 90.00°, β = 90.00° and γ = 90.00°. The asymmetric unit holds Zn at (0.000, 0.000, 0.000), Os at (0.000, 0.500, 0.250), Au at (0.000, 0.000, 0.500) and Au at (0.000, 0.500, 0.750).

Its formation energy is 0.4653 eV per atom.


(6)
Density functional theory data (GGA-PBE) for a geometry-optimized ZnOs2Au structure.

It has space group R-3m (No. 166, hexagonal axes), with a = 2.7662 Å, b = 2.7662 Å, c = 27.3725 Å, α = 90.00°, β = 90.00° and γ = 120.00°. The asymmetric unit holds Zn at (0.0000, 0.0000, 0.0000), Os at (0.0000, 0.0000, 0.2544) and Au at (0.0000, 0.0000, 0.5000).

Its formation energy is 0.4430 eV per atom.


(7)
Density functional theory data (GGA-PBE) for a geometry-optimized ZnOsAu structure.

It has space group F-43m (No. 216), with a = 5.910 Å, b = 5.910 Å, c = 5.910 Å, α = 90.00°, β = 90.00° and γ = 90.00°. The asymmetric unit holds Zn at (0.000, 0.000, 0.000), Os at (0.250, 0.250, 0.250) and Au at (0.250, 0.250, 0.750).

Its formation energy is 0.8509 eV per atom. The value obtained for the polymorph energy (0 for the lowest one) is 580 meV/atom.


(8)
Density functional theory data (GGA-PBE) for a geometry-optimized ZnOsAu2 structure.

It has space group F-43m (No. 216), with a = 6.382 Å, b = 6.382 Å, c = 6.382 Å, α = 90.00°, β = 90.00° and γ = 90.00°. The asymmetric unit holds Zn at (0.000, 0.000, 0.000), Os at (0.250, 0.250, 0.750), Au at (0.000, 0.000, 0.500) and Au at (0.250, 0.250, 0.250).

Its formation energy is 0.5201 eV per atom.